Computed, not measured: crystalline Tb4NdHo10 at its relaxed geometry at the PBE level of DFT.

Structure (POSCAR):
```
Tb4NdHo10
1.0
-4.8858 4.8858 5.3815
4.8858 -4.8858 5.3815
4.8858 4.8858 -5.3815
Tb Nd Ho
4 1 10
Cartesian
2.8183 0.5283 0.0000 Tb
4.3575 -2.0675 5.3815 Tb
0.5283 6.9532 0.0000 Tb
2.0675 4.3575 5.3815 Tb
0.0000 0.0000 5.3815 Nd
6.0825 2.7437 -1.8193 Ho
2.7437 3.6891 -1.8193 Ho
4.8858 0.0000 2.6907 Ho
6.0825 2.7437 1.8193 Ho
2.1421 1.1967 3.5622 Ho
2.7437 3.6891 1.8193 Ho
-1.1967 2.1421 3.5622 Ho
0.0000 4.8858 2.6907 Ho
2.1421 1.1967 7.2008 Ho
-1.1967 2.1421 7.2008 Ho
```

Output
theoretical density = 7.9 g cm⁻³
DFT formation energy = 46 kJ/mol of atoms